No. 1
Entry from Alexandria via LeMat-Bulk: a relaxed NaSiAs2 crystal (PBE).

```
32
Lattice="7.448 -0.215 2.101 -0.385 7.441 2.101 1.953 1.998 15.308" Properties=species:S:1:pos:R:3 pbc="T T T"
As 5.849 7.081 4.487
As 5.517 4.603 13.582
As 4.227 7.107 11.003
As 7.391 4.507 7.045
Si 3.232 4.453 14.157
Na 2.201 3.116 3.551
Na 4.974 5.954 8.305
Na 6.965 2.349 15.071
As 3.500 4.621 5.928
As 3.168 2.144 15.023
Si 7.036 2.229 7.537
Na 7.803 3.207 12.093
As 1.625 4.718 12.465
Si 5.785 4.772 5.353
As 1.094 2.217 7.369
As 2.984 5.836 16.162
As 6.032 3.388 3.349
As 7.922 7.008 12.141
Na 2.051 6.875 4.439
Na 1.213 6.018 7.417
Si 5.972 1.141 4.319
Si 3.044 8.084 15.191
As 1.424 8.604 13.582
As 4.790 2.118 8.508
As 7.592 0.621 5.928
As 3.703 0.733 4.811
Na 4.042 3.271 11.205
Na 6.815 6.108 15.959
As 5.313 8.491 14.699
Si 5.615 6.892 13.007
Si 3.401 2.333 6.503
Si 1.981 6.996 11.973
```

Values from the calculation:
**Crystal system**: monoclinic
**DFT total energy**: -4.2727 eV/atom
**SG**: C2/c, No. 15



No. 2
Entry from Alexandria via LeMat-Bulk: a relaxed Ho2GeTe crystal (PBE).

```
4
Lattice="5.119 0.000 0.000 -2.560 4.433 0.000 0.000 0.000 5.909" Properties=species:S:1:pos:R:3 pbc="T T T"
Ho 0.000 0.000 2.586
Te 2.560 1.478 2.585
Ge 0.000 0.000 5.539
Ho 2.560 1.478 5.539
```

Values from the calculation:
**Crystal system**: hexagonal
**E above lowest polymorph**: 351 meV per atom
**SG**: P-6m2, No. 187



No. 3
Entry from Alexandria via LeMat-Bulk: a relaxed NbCu2Au crystal (PBE).

```
8
Lattice="7.050 0.000 0.000 0.000 7.050 0.000 3.525 3.525 2.676" Properties=species:S:1:pos:R:3 pbc="T T T"
Au 7.050 3.525 1.338
Nb 3.525 3.525 0.000
Au 0.000 0.000 0.000
Cu 1.748 5.287 0.669
Cu 5.287 5.273 2.007
Cu 8.812 8.827 2.007
Cu 5.302 1.762 0.669
Nb 3.525 7.050 1.338
```

Values from the calculation:
**Crystal system**: tetragonal
**E above lowest polymorph**: 496 meV per atom
**Formation energy**: 2.045 eV/f.u.
**SG**: I-42d, No. 122



No. 4
Entry from Alexandria via LeMat-Bulk: a relaxed GdUTc2 crystal (PBE).

```
4
Lattice="3.378 0.000 0.000 0.000 4.822 0.000 0.000 0.000 4.822" Properties=species:S:1:pos:R:3 pbc="T T T"
Gd 1.689 2.411 2.411
U 1.689 0.000 0.000
Tc 0.000 0.000 2.411
Tc 0.000 2.411 0.000
```

Values from the calculation:
**Crystal system**: tetragonal
**E above lowest polymorph**: 196 meV per atom
**Formation energy**: 0.302 eV/f.u.
**SG**: P4/mmm, No. 123



What did the third record say?
Entry from Alexandria via LeMat-Bulk: a relaxed NbCu2Au crystal (PBE).

```
8
Lattice="7.050 0.000 0.000 0.000 7.050 0.000 3.525 3.525 2.676" Properties=species:S:1:pos:R:3 pbc="T T T"
Au 7.050 3.525 1.338
Nb 3.525 3.525 0.000
Au 0.000 0.000 0.000
Cu 1.748 5.287 0.669
Cu 5.287 5.273 2.007
Cu 8.812 8.827 2.007
Cu 5.302 1.762 0.669
Nb 3.525 7.050 1.338
```

Values from the calculation:
**Crystal system**: tetragonal
**E above lowest polymorph**: 496 meV per atom
**Formation energy**: 2.045 eV/f.u.
**SG**: I-42d, No. 122